<1>
{"formula": "YErHg2", "functional": "GGA-PBE", "state": "relaxed", "rho_kg_m3": 10687, "total_magnetization_mub_per_cell": 0.010, "vol_a3_per_atom": 25.5, "lattice": [[-3.7992, 0.1717, 3.6148], [-3.6960, -3.7228, 0.1003], [-0.0772, -3.5160, 3.8938]], "species": ["Y", "Hg", "Hg", "Er"], "fractional_positions": [[0.0000, 0.0000, 0.0000], [0.2500, 0.2500, 0.2500], [0.7500, 0.7500, 0.7500], [0.5000, 0.5000, 0.5000]]}

<2>
{"formula": "YErHg2", "functional": "GGA-PBE", "state": "relaxed", "rho_kg_m3": 9900, "total_magnetization_mub_per_cell": 0.000, "vol_a3_per_atom": 27.6, "lattice": [[-3.0348, -2.0610, 0.6681], [0.3489, -3.4998, 1.2385], [-1.0711, 1.1653, 9.2927]], "species": ["Y", "Er", "Hg", "Hg"], "fractional_positions": [[0.4999, 0.4999, 0.4997], [0.6664, 0.6664, 0.0005], [0.0823, 0.0823, 0.7538], [0.2514, 0.2514, 0.2460]]}

So which one is most stable? That would be <1>, about 152 meV/atom below the next structure.

<1>
{"formula": "Y2ErHg2", "functional": "GGA-PBE", "state": "relaxed", "rho_kg_m3": 9044, "total_magnetization_mub_per_cell": 0.000, "vol_a3_per_atom": 27.4, "lattice": [[3.8626, 0.0000, 0.0000], [0.0000, 8.4229, 0.0000], [0.0000, 0.0000, 8.4229]], "species": ["Y", "Y", "Y", "Y", "Er", "Er", "Hg", "Hg", "Hg", "Hg"], "fractional_positions": [[0.5000, 0.1668, 0.6668], [0.5000, 0.6668, 0.8332], [0.5000, 0.8332, 0.3332], [0.5000, 0.3332, 0.1668], [0.0000, 0.0000, 0.0000], [0.0000, 0.5000, 0.5000], [0.0000, 0.3671, 0.8671], [0.0000, 0.8671, 0.6329], [0.0000, 0.6329, 0.1329], [0.0000, 0.1329, 0.3671]]}

<2>
{"formula": "Y2ErHg2", "functional": "GGA-PBE", "state": "relaxed", "rho_kg_m3": 9228, "total_magnetization_mub_per_cell": 0.000, "vol_a3_per_atom": 26.9, "lattice": [[-0.8200, 3.1257, 1.9204], [-3.4603, 1.3810, -3.7253], [-9.3756, -8.2150, 5.6635]], "species": ["Y", "Y", "Y", "Y", "Er", "Er", "Hg", "Hg", "Hg", "Hg"], "fractional_positions": [[0.0468, 0.7500, 0.0946], [0.9532, 0.2500, 0.9054], [0.2351, 0.7500, 0.4707], [0.7649, 0.2500, 0.5293], [0.8541, 0.7500, 0.7081], [0.1459, 0.2500, 0.2919], [0.6436, 0.7500, 0.2878], [0.3564, 0.2500, 0.7122], [0.4516, 0.7500, 0.9023], [0.5484, 0.2500, 0.0977]]}

So which one is most stable? That would be <1>, about 11 meV/atom below the next structure.

<1>
{"formula": "ErZrHg2", "functional": "GGA-PBE", "state": "relaxed", "rho_kg_m3": 11769, "total_magnetization_mub_per_cell": 0.996, "vol_a3_per_atom": 23.3, "lattice": [[-1.1136, 1.4937, 3.7215], [2.1130, -3.6698, 2.1052], [4.0371, 2.4527, 0.2236]], "species": ["Hg", "Hg", "Zr", "Er"], "fractional_positions": [[0.0000, 0.0000, 0.5000], [0.0000, 0.5000, 0.0000], [0.5000, 0.5000, 0.5000], [0.5000, 0.0000, 0.0000]]}

<2>
{"formula": "ErZrHg2", "functional": "GGA-PBE", "state": "relaxed", "rho_kg_m3": 11710, "total_magnetization_mub_per_cell": 0.542, "vol_a3_per_atom": 23.4, "lattice": [[3.6142, 0.0000, 0.0000], [0.0000, 3.6142, 0.0000], [0.0000, 0.0000, 7.1614]], "species": ["Hg", "Hg", "Zr", "Er"], "fractional_positions": [[0.0000, 0.0000, 0.7595], [0.0000, 0.0000, 0.2405], [0.5000, 0.5000, 0.0000], [0.5000, 0.5000, 0.5000]]}

<3>
{"formula": "ErZrHg2", "functional": "GGA-PBE", "state": "relaxed", "rho_kg_m3": 11692, "total_magnetization_mub_per_cell": 0.816, "vol_a3_per_atom": 23.4, "lattice": [[-2.2088, -3.1421, 3.3522], [2.7422, -2.0116, 3.7977], [-0.7820, 1.5335, 4.7985]], "species": ["Hg", "Hg", "Zr", "Er"], "fractional_positions": [[0.2500, 0.2500, 0.2500], [0.7500, 0.7500, 0.7500], [0.5000, 0.5000, 0.5000], [0.0000, 0.0000, 0.0000]]}

So which one is most stable? That would be <2>, about 16 meV/atom below the next structure.

<1>
{"formula": "ErZr2Hg", "functional": "GGA-PBE", "state": "relaxed", "rho_kg_m3": 9217, "total_magnetization_mub_per_cell": 0.000, "vol_a3_per_atom": 24.8, "lattice": [[3.1605, 0.0000, 0.0000], [1.5802, 2.7370, 0.0000], [1.5802, 0.9123, 11.4613]], "species": ["Hg", "Zr", "Zr", "Er"], "fractional_positions": [[0.5000, 0.5000, 0.5000], [0.0927, 0.0927, 0.7220], [0.9073, 0.9073, 0.2780], [0.0000, 0.0000, 0.0000]]}

<2>
{"formula": "ErZr2Hg", "functional": "GGA-PBE", "state": "relaxed", "rho_kg_m3": 9775, "total_magnetization_mub_per_cell": 0.000, "vol_a3_per_atom": 23.4, "lattice": [[4.6361, 0.0000, 0.0000], [0.0000, 4.4904, 0.0000], [0.0000, 0.0000, 4.4904]], "species": ["Hg", "Zr", "Zr", "Er"], "fractional_positions": [[0.5000, 0.5000, 0.5000], [0.0000, 0.0000, 0.5000], [0.0000, 0.5000, 0.0000], [0.5000, 0.0000, 0.0000]]}

So which one is most stable? That would be <2>, about 326 meV/atom below the next structure.

<1>
{"formula": "ErZrHg4", "functional": "GGA-PBE", "state": "relaxed", "rho_kg_m3": 12722, "total_magnetization_mub_per_cell": 0.000, "vol_a3_per_atom": 23.1, "lattice": [[-3.3560, -0.2042, 1.0252], [-1.4683, -0.5281, -4.9115], [2.3442, -7.4876, 0.1043]], "species": ["Er", "Zr", "Hg", "Hg", "Hg", "Hg"], "fractional_positions": [[0.6411, 0.4973, 0.0299], [0.8626, 0.9973, 0.4674], [0.1958, 0.9973, 0.1347], [0.5261, 0.9973, 0.7939], [0.9729, 0.4973, 0.6936], [0.3094, 0.4973, 0.3693]]}

<2>
{"formula": "ErZrHg4", "functional": "GGA-PBE", "state": "relaxed", "rho_kg_m3": 12771, "total_magnetization_mub_per_cell": 0.207, "vol_a3_per_atom": 23.0, "lattice": [[-0.2536, 0.1562, 3.3575], [-2.4464, -2.3175, -0.0770], [8.3012, -8.7978, 1.0364]], "species": ["Er", "Zr", "Hg", "Hg", "Hg", "Hg"], "fractional_positions": [[0.5000, 0.5000, 0.5000], [0.0000, 0.0000, 0.0000], [0.5000, 0.5000, 0.8400], [0.5000, 0.5000, 0.1600], [0.0000, 0.0000, 0.6693], [0.0000, 0.0000, 0.3307]]}

So which one is most stable? That would be <2>, about 25 meV/atom below the next structure.

<1>
{"formula": "HoEr4", "functional": "GGA-PBE", "state": "relaxed", "rho_kg_m3": 8368, "total_magnetization_mub_per_cell": 0.001, "vol_a3_per_atom": 33.1, "lattice": [[7.5849, -0.2909, 0.0000], [-3.3036, 6.8339, 0.0000], [-2.1407, -3.2715, 6.5062]], "species": ["Ho", "Ho", "Er", "Er", "Er", "Er", "Er", "Er", "Er", "Er"], "fractional_positions": [[0.5000, 0.5000, 0.0000], [0.2500, 0.7500, 0.5000], [0.7121, 0.3967, 0.3154], [0.0813, 0.3967, 0.6846], [0.1467, 0.3313, 0.1846], [0.1467, 0.9621, 0.8154], [0.6687, 0.8533, 0.8154], [0.0379, 0.8533, 0.1846], [0.6033, 0.9187, 0.3154], [0.6033, 0.2879, 0.6846]]}

<2>
{"formula": "HoEr4", "functional": "GGA-PBE", "state": "relaxed", "rho_kg_m3": 8046, "total_magnetization_mub_per_cell": 0.011, "vol_a3_per_atom": 34.4, "lattice": [[-0.5494, -5.5053, 0.5759], [1.9715, -0.7354, -5.1492], [5.1724, -0.3045, 2.0238]], "species": ["Ho", "Er", "Er", "Er", "Er"], "fractional_positions": [[0.5000, 0.5000, 0.5000], [0.0000, 0.0000, 0.0000], [0.5000, 0.0000, 0.5000], [0.0000, 0.5000, 0.5000], [0.5000, 0.5000, 0.0000]]}

<3>
{"formula": "HoEr4", "functional": "GGA-PBE", "state": "relaxed", "rho_kg_m3": 9142, "total_magnetization_mub_per_cell": 0.000, "vol_a3_per_atom": 30.3, "lattice": [[3.4589, 0.0016, 0.5499], [1.6814, 3.0228, 0.5499], [-0.5433, -0.3197, 14.3758]], "species": ["Ho", "Er", "Er", "Er", "Er"], "fractional_positions": [[0.0000, 0.0000, 0.0000], [0.2000, 0.2000, 0.4000], [0.8000, 0.8000, 0.6000], [0.6007, 0.6007, 0.2003], [0.3993, 0.3993, 0.7997]]}

So which one is most stable? That would be <3>, about 423 meV/atom below the next structure.

<1>
{"formula": "Ho3Er13", "functional": "GGA-PBE", "state": "relaxed", "rho_kg_m3": 8995, "total_magnetization_mub_per_cell": 0.000, "vol_a3_per_atom": 30.8, "lattice": [[7.1694, 0.0000, 0.0000], [0.0000, 8.2652, -0.9193], [0.0000, -0.0080, 8.3162]], "species": ["Ho", "Ho", "Ho", "Er", "Er", "Er", "Er", "Er", "Er", "Er", "Er", "Er", "Er", "Er", "Er", "Er"], "fractional_positions": [[0.7498, 0.0413, 0.9587], [0.0000, 0.2918, 0.7082], [0.2502, 0.0413, 0.9587], [0.7499, 0.9581, 0.5413], [0.7501, 0.5418, 0.4582], [0.7499, 0.4587, 0.0419], [0.0000, 0.7082, 0.7914], [0.0000, 0.2086, 0.2918], [0.0000, 0.7915, 0.2085], [0.2501, 0.9581, 0.5413], [0.2499, 0.5418, 0.4582], [0.2501, 0.4587, 0.0419], [0.5000, 0.2917, 0.7083], [0.5000, 0.7078, 0.7911], [0.5000, 0.2089, 0.2922], [0.5000, 0.7915, 0.2085]]}

<2>
{"formula": "Ho3Er13", "functional": "GGA-PBE", "state": "relaxed", "rho_kg_m3": 9148, "total_magnetization_mub_per_cell": 0.000, "vol_a3_per_atom": 30.3, "lattice": [[6.9990, 0.0123, 0.0000], [-0.0127, 6.9990, 0.0000], [0.0000, 0.0000, 9.8907]], "species": ["Ho", "Ho", "Ho", "Er", "Er", "Er", "Er", "Er", "Er", "Er", "Er", "Er", "Er", "Er", "Er", "Er"], "fractional_positions": [[0.0001, 0.9999, 0.2502], [0.7498, 0.2502, 0.0000], [0.0001, 0.9999, 0.7498], [0.4999, 0.9999, 0.2503], [0.4999, 0.5001, 0.2503], [0.0001, 0.5001, 0.2503], [0.7498, 0.7499, 0.0000], [0.2501, 0.2502, 0.0000], [0.2502, 0.7498, 0.0000], [0.4999, 0.9999, 0.7497], [0.4999, 0.5001, 0.7497], [0.0001, 0.5001, 0.7497], [0.7499, 0.2501, 0.5000], [0.7499, 0.7499, 0.5000], [0.2501, 0.2501, 0.5000], [0.2502, 0.7498, 0.5000]]}

So which one is most stable? That would be <1>, about 20 meV/atom below the next structure.

<1>
{"formula": "Ho7Er5", "functional": "GGA-PBE", "state": "relaxed", "rho_kg_m3": 8785, "total_magnetization_mub_per_cell": 0.000, "vol_a3_per_atom": 31.4, "lattice": [[-2.0424, 5.1201, -0.8001], [1.1879, -3.2310, -4.3190], [-13.2804, -4.7573, 3.4568]], "species": ["Ho", "Ho", "Ho", "Ho", "Ho", "Ho", "Ho", "Er", "Er", "Er", "Er", "Er"], "fractional_positions": [[0.2298, 0.4596, 0.6730], [0.7702, 0.5404, 0.3270], [0.0622, 0.1243, 0.2129], [0.9378, 0.8757, 0.7871], [0.6900, 0.3800, 0.0785], [0.5000, 0.0000, 0.5000], [0.3100, 0.6200, 0.9215], [0.1452, 0.2905, 0.4402], [0.8548, 0.7095, 0.5598], [0.3904, 0.7807, 0.1932], [0.6096, 0.2193, 0.8068], [0.0000, 0.0000, 0.0000]]}

<2>
{"formula": "Ho7Er5", "functional": "GGA-PBE", "state": "relaxed", "rho_kg_m3": 9019, "total_magnetization_mub_per_cell": 0.000, "vol_a3_per_atom": 30.5, "lattice": [[3.4777, 0.0000, 0.5484], [1.3943, 8.8825, 2.4589], [-0.0951, 0.2085, 11.9034]], "species": ["Ho", "Ho", "Ho", "Ho", "Ho", "Ho", "Ho", "Er", "Er", "Er", "Er", "Er"], "fractional_positions": [[0.6391, 0.9720, 0.7499], [0.3609, 0.0280, 0.2501], [0.0277, 0.6945, 0.2501], [0.9723, 0.3055, 0.7499], [0.3332, 0.3332, 0.0004], [0.5000, 0.5000, 0.5000], [0.6668, 0.6668, 0.9996], [0.8332, 0.8334, 0.5002], [0.1668, 0.1666, 0.4998], [0.6943, 0.3611, 0.2502], [0.3057, 0.6389, 0.7498], [0.0000, 0.0000, 0.0000]]}

So which one is most stable? That would be <2>, about 193 meV/atom below the next structure.

<1>
{"formula": "HoEr6", "functional": "GGA-PBE", "state": "relaxed", "rho_kg_m3": 7532, "total_magnetization_mub_per_cell": 0.006, "vol_a3_per_atom": 36.8, "lattice": [[-5.6952, -2.1038, -3.3677], [-0.3832, -1.9664, 6.6475], [0.4688, 6.9184, -0.3436]], "species": ["Ho", "Er", "Er", "Er", "Er", "Er", "Er"], "fractional_positions": [[0.0000, 0.0000, 0.0000], [0.2500, 0.7500, 0.5000], [0.5000, 0.7500, 0.2500], [0.2500, 0.5000, 0.7500], [0.7500, 0.2500, 0.5000], [0.5000, 0.2500, 0.7500], [0.7500, 0.5000, 0.2500]]}

<2>
{"formula": "HoEr6", "functional": "GGA-PBE", "state": "relaxed", "rho_kg_m3": 8695, "total_magnetization_mub_per_cell": 0.001, "vol_a3_per_atom": 31.9, "lattice": [[6.4142, 0.0000, 0.0000], [0.0000, 6.4142, 0.0000], [0.0000, 0.0000, 10.8482]], "species": ["Ho", "Ho", "Er", "Er", "Er", "Er", "Er", "Er", "Er", "Er", "Er", "Er", "Er", "Er"], "fractional_positions": [[0.5000, 0.0000, 0.0000], [0.0000, 0.5000, 0.0000], [0.5000, 0.5000, 0.1406], [0.0000, 0.0000, 0.1406], [0.0000, 0.0000, 0.8594], [0.5000, 0.5000, 0.8594], [0.8315, 0.6685, 0.3623], [0.3315, 0.8315, 0.3623], [0.6685, 0.1685, 0.3623], [0.1685, 0.3315, 0.3623], [0.6685, 0.8315, 0.6377], [0.1685, 0.6685, 0.6377], [0.8315, 0.3315, 0.6377], [0.3315, 0.1685, 0.6377]]}

So which one is most stable? That would be <2>, about 1298 meV/atom below the next structure.

<1>
{"formula": "Ho5Er2", "functional": "GGA-PBE", "state": "relaxed", "rho_kg_m3": 8773, "total_magnetization_mub_per_cell": 0.000, "vol_a3_per_atom": 31.3, "lattice": [[-0.9483, -1.2085, 3.1548], [-4.3946, -6.4770, -3.8530], [3.5983, -7.4613, -1.9154]], "species": ["Ho", "Ho", "Ho", "Ho", "Ho", "Er", "Er"], "fractional_positions": [[0.4851, 0.4174, 0.7536], [0.5149, 0.5826, 0.2464], [0.0000, 0.0000, 0.0000], [0.0015, 0.7209, 0.8277], [0.9985, 0.2791, 0.1723], [0.4989, 0.1241, 0.5970], [0.5011, 0.8759, 0.4030]]}

<2>
{"formula": "Ho5Er2", "functional": "GGA-PBE", "state": "relaxed", "rho_kg_m3": 8851, "total_magnetization_mub_per_cell": 0.003, "vol_a3_per_atom": 31.1, "lattice": [[6.2143, 0.0000, 0.0000], [0.0000, 9.0862, 0.3042], [-3.1071, -1.0985, 7.6660]], "species": ["Ho", "Ho", "Ho", "Ho", "Ho", "Ho", "Ho", "Ho", "Ho", "Ho", "Er", "Er", "Er", "Er"], "fractional_positions": [[0.3094, 0.4642, 0.2852], [0.0242, 0.0358, 0.7148], [0.1191, 0.6786, 0.5714], [0.5476, 0.8214, 0.4286], [0.8809, 0.3214, 0.4286], [0.4524, 0.1786, 0.5714], [0.9758, 0.9642, 0.2852], [0.6906, 0.5358, 0.7148], [0.8331, 0.2500, 0.0000], [0.1669, 0.7500, 0.0000], [0.2622, 0.3929, 0.8573], [0.4049, 0.1071, 0.1427], [0.7378, 0.6071, 0.1427], [0.5951, 0.8929, 0.8573]]}

So which one is most stable? That would be <2>, about 80 meV/atom below the next structure.

<1>
{"formula": "Ho2Er", "functional": "GGA-PBE", "state": "relaxed", "rho_kg_m3": 9004, "total_magnetization_mub_per_cell": 0.000, "vol_a3_per_atom": 30.6, "lattice": [[3.5049, 0.0000, 0.0000], [0.0000, 3.5049, 0.0000], [-1.7525, -1.7525, 7.4627]], "species": ["Ho", "Ho", "Er"], "fractional_positions": [[0.6665, 0.6665, 0.3329], [0.3335, 0.3335, 0.6671], [0.0000, 0.0000, 0.0000]]}

<2>
{"formula": "Ho2Er", "functional": "GGA-PBE", "state": "relaxed", "rho_kg_m3": 8751, "total_magnetization_mub_per_cell": 0.001, "vol_a3_per_atom": 31.4, "lattice": [[3.4410, 0.0000, 0.0000], [0.0000, 3.4410, 0.0000], [-1.7205, -1.7205, 15.9336]], "species": ["Ho", "Ho", "Ho", "Ho", "Er", "Er"], "fractional_positions": [[0.5779, 0.5779, 0.1558], [0.6721, 0.1721, 0.3442], [0.4221, 0.4221, 0.8442], [0.8279, 0.3279, 0.6558], [0.0000, 0.0000, 0.0000], [0.2500, 0.7500, 0.5000]]}

<3>
{"formula": "Ho2Er", "functional": "GGA-PBE", "state": "relaxed", "rho_kg_m3": 8541, "total_magnetization_mub_per_cell": 0.060, "vol_a3_per_atom": 32.2, "lattice": [[-4.6300, 1.0824, 4.4175], [0.6079, -2.4102, 5.9953], [1.1486, 3.9798, 4.9964]], "species": ["Ho", "Ho", "Ho", "Ho", "Er", "Er"], "fractional_positions": [[0.1250, 0.6250, 0.6250], [0.6250, 0.1250, 0.6250], [0.6250, 0.6250, 0.6250], [0.6250, 0.6250, 0.1250], [0.0000, 0.0000, 0.0000], [0.2500, 0.2500, 0.2500]]}

So which one is most stable? That would be <1>, about 133 meV/atom below the next structure.